#A
CuOsPb2 | SCAN | single point on PBEsol structure

abc: 3.3521 4.6405 5.4352
angles: 100.54 90.00 111.17
Atoms (fractional coordinates):
Cu: 0.0000 0.0000 0.5000
Os: 0.5000 0.0000 0.0000
Pb: 0.7550 0.5099 0.7538
Pb: 0.2450 0.4901 0.2462

Output
As for the space-group type: C2/m, No. 12.


#B
CuOsPb2 | SCAN | single point on PBEsol structure

abc: 3.4089 4.2857 5.3611
angles: 90.00 90.00 90.00
Atoms (fractional coordinates):
Cu: 0.5000 0.5000 0.0000
Os: 0.0000 0.5000 0.5000
Pb: 0.0000 0.0000 0.0000
Pb: 0.5000 0.0000 0.5000

Output
As for the space-group type: Pmmm, No. 47.


Tell me which of them is the least stable. Sure, it is #B.


#A
Cu2OsPt | SCAN | single point on PBEsol structure

abc: 2.6254 2.6254 8.7905
angles: 90.00 90.00 118.12
Atoms (fractional coordinates):
Cu: 0.0000 0.0000 0.2515
Cu: 0.0000 0.0000 0.7485
Os: 0.5000 0.5000 0.5000
Pt: 0.5000 0.5000 0.0000

Output
As for the space-group type: Cmmm, No. 65.


#B
Cu2OsPt | SCAN | single point on PBEsol structure

abc: 2.7056 4.3952 5.0714
angles: 115.68 105.47 90.00
Atoms (fractional coordinates):
Cu: 0.0089 0.0089 0.0178
Cu: 0.7407 0.2407 0.4814
Os: 0.4948 0.4948 0.9897
Pt: 0.2556 0.7556 0.5111

Output
As for the space-group type: Imm2, No. 44.


Tell me which of them is the least stable. Sure, it is #B.


#A
Cu2OsPt | SCAN | single point on PBEsol structure

abc: 2.7247 4.3577 4.3577
angles: 90.00 90.00 90.00
Atoms (fractional coordinates):
Cu: 0.0000 0.0000 0.5000
Cu: 0.0000 0.5000 0.0000
Os: 0.5000 0.5000 0.5000
Pt: 0.5000 0.0000 0.0000

Output
As for the space-group type: P4/mmm, No. 123.


#B
Cu2OsPt | SCAN | single point on PBEsol structure

abc: 2.6770 2.6770 8.6209
angles: 81.07 81.07 60.00
Atoms (fractional coordinates):
Cu: 0.0035 0.0035 0.9895
Cu: 0.7475 0.7475 0.7576
Os: 0.4972 0.4972 0.5085
Pt: 0.2519 0.2519 0.2443

Output
As for the space-group type: R3m, No. 160.


Tell me which of them is the least stable. Sure, it is #A.


#A
Cu2ReOs | SCAN | single point on PBEsol structure

abc: 3.7548 3.7548 4.5135
angles: 114.58 114.58 90.00
Atoms (fractional coordinates):
Cu: 0.0000 0.0000 0.0000
Cu: 0.7500 0.2500 0.5000
Os: 0.5000 0.5000 0.0000
Re: 0.2500 0.7500 0.5000

Output
As for the space-group type: I-4m2, No. 119.


#B
Cu2ReOs | SCAN | single point on PBEsol structure

abc: 2.6460 2.6460 8.7802
angles: 81.33 81.33 60.00
Atoms (fractional coordinates):
Cu: 0.2496 0.2496 0.2513
Cu: 0.7504 0.7504 0.7487
Os: 0.5000 0.5000 0.5000
Re: 0.0000 0.0000 0.0000

Output
As for the space-group type: R-3m, No. 166.


Tell me which of them is the least stable. Sure, it is #B.


#A
CuOs2Rh | SCAN | single point on PBEsol structure

abc: 3.6969 3.6969 3.9165
angles: 90.00 90.00 90.00
Atoms (fractional coordinates):
Cu: 0.0000 0.0000 0.5000
Os: 0.0000 0.5000 0.0000
Os: 0.5000 0.0000 0.0000
Rh: 0.5000 0.5000 0.5000

Output
As for the space-group type: P4/mmm, No. 123.


#B
CuOs2Rh | SCAN | single point on PBEsol structure

abc: 4.2363 4.2363 4.2363
angles: 60.00 60.00 60.00
Site moments in Bohr magnetons follow the coordinates.
Atoms (fractional coordinates):
Cu: 0.0000 0.0000 0.0000  0.03
Os: 0.2500 0.2500 0.2500  0.23
Os: 0.7500 0.7500 0.7500  0.23
Rh: 0.5000 0.5000 0.5000  0.67

Output
As for the space-group type: Fm-3m, No. 225.


Tell me which of them is the least stable. Sure, it is #B.


#A
CuOsSe2 | SCAN | single point on PBEsol structure

abc: 2.9534 4.2288 6.2666
angles: 109.72 103.63 90.00
Atoms (fractional coordinates):
Cu: 0.5000 0.0000 0.0000
Os: 0.0000 0.5000 0.0000
Se: 0.6730 0.6730 0.3461
Se: 0.3270 0.3270 0.6539

Output
As for the space-group type: Immm, No. 71.


#B
CuOsSe2 | SCAN | single point on PBEsol structure

abc: 3.6961 3.6961 5.2779
angles: 90.00 90.00 90.00
Atoms (fractional coordinates):
Cu: 0.5000 0.5000 0.5000
Os: 0.0000 0.0000 0.5000
Se: 0.5000 0.0000 0.8083
Se: 0.0000 0.5000 0.1917

Output
As for the space-group type: P-4m2, No. 115.


Tell me which of them is the least stable. Sure, it is #A.


#A
CuSi2Os | SCAN | single point on PBEsol structure

abc: 3.2128 3.2128 4.9399
angles: 90.00 90.00 90.00
Atoms (fractional coordinates):
Cu: 0.0000 0.0000 0.4602
Os: 0.5000 0.5000 0.7787
Si: 0.0000 0.0000 0.9834
Si: 0.5000 0.5000 0.2777

Output
As for the space-group type: P4mm, No. 99.


#B
CuSi2Os | SCAN | single point on PBEsol structure

abc: 3.6091 3.6091 4.6066
angles: 113.06 113.06 90.00
Atoms (fractional coordinates):
Cu: 0.5000 0.5000 0.0000
Os: 0.7500 0.2500 0.5000
Si: 0.0000 0.0000 0.0000
Si: 0.2500 0.7500 0.5000

Output
As for the space-group type: I-4m2, No. 119.


#C
CuSi2Os | SCAN | single point on PBEsol structure

abc: 2.7320 2.7320 7.1576
angles: 90.00 90.00 90.00
Atoms (fractional coordinates):
Cu: 0.0000 0.0000 0.4990
Os: 0.5000 0.5000 0.7581
Si: 0.0000 0.0000 0.9749
Si: 0.5000 0.5000 0.2680

Output
As for the space-group type: P4mm, No. 99.


Tell me which of them is the least stable. Sure, it is #C.


#A
CuSi2Os | SCAN | single point on PBEsol structure

abc: 2.7922 2.7946 8.0362
angles: 90.00 90.00 119.97
Atoms (fractional coordinates):
Cu: 0.5000 0.0000 0.5000
Os: 0.5000 0.0000 0.0000
Si: 0.0000 0.0000 0.7523
Si: 0.0000 0.0000 0.2477

Output
As for the space-group type: Cmmm, No. 65.


#B
CuSi2Os | SCAN | single point on PBEsol structure

abc: 4.1644 2.8959 4.1766
angles: 90.00 90.00 90.00
Atoms (fractional coordinates):
Cu: 0.5000 0.5000 0.0000
Os: 0.0000 0.5000 0.5000
Si: 0.0000 0.0000 0.0000
Si: 0.5000 0.0000 0.5000

Output
As for the space-group type: Pmmm, No. 47.


Tell me which of them is the least stable. Sure, it is #A.


#A
SrCu2Os | SCAN | single point on PBEsol structure

abc: 2.7373 4.2916 5.8695
angles: 90.00 103.39 90.00
Atoms (fractional coordinates):
Cu: 0.8329 0.0000 0.0403
Cu: 0.9544 0.5000 0.2836
Os: 0.5158 0.0000 0.4078
Sr: 0.1969 0.5000 0.7684

Output
As for the space-group type: Pm, No. 6.


#B
SrCu2Os | SCAN | single point on PBEsol structure

abc: 4.5495 4.5495 4.5495
angles: 60.00 60.00 60.00
Site moments in Bohr magnetons follow the coordinates.
Atoms (fractional coordinates):
Cu: 0.0000 0.0000 0.0000  0.00
Cu: 0.7500 0.7500 0.7500  0.07
Os: 0.5000 0.5000 0.5000  0.26
Sr: 0.2500 0.2500 0.2500  0.01

Output
As for the space-group type: F-43m, No. 216.


Tell me which of them is the least stable. Sure, it is #B.


#A
CuTcOs2 | SCAN | single point on PBEsol structure

abc: 2.6889 4.6001 4.6504
angles: 110.38 90.00 90.00
Atoms (fractional coordinates):
Cu: 0.0000 0.5000 0.5000
Os: 0.0000 0.0000 0.0000
Os: 0.5000 0.0000 0.5000
Tc: 0.5000 0.5000 0.0000

Output
As for the space-group type: P2/m, No. 10.


#B
CuTcOs2 | SCAN | single point on PBEsol structure

abc: 2.6283 2.6283 9.0053
angles: 90.00 90.00 117.03
Atoms (fractional coordinates):
Cu: 0.5000 0.5000 0.2506
Os: 0.0000 0.0000 0.0035
Os: 0.5000 0.5000 0.7471
Tc: 0.0000 0.0000 0.4988

Output
As for the space-group type: Cmm2, No. 35.


#C
CuTcOs2 | SCAN | single point on PBEsol structure

abc: 2.6993 3.8114 5.2117
angles: 90.00 90.00 90.00
Atoms (fractional coordinates):
Cu: 0.0000 0.5000 0.7502
Os: 0.5000 0.0000 0.9916
Os: 0.0000 0.5000 0.2494
Tc: 0.5000 0.0000 0.5088

Output
As for the space-group type: Pmm2, No. 25.


Tell me which of them is the least stable. Sure, it is #B.


#A
Cu2TcOs | SCAN | single point on PBEsol structure

abc: 2.6297 4.5470 4.5754
angles: 99.49 106.70 90.00
Atoms (fractional coordinates):
Cu: 0.2491 0.2497 0.4983
Cu: 0.7509 0.7503 0.5017
Os: 0.5000 0.0000 0.0000
Tc: 0.0000 0.5000 0.0000

Output
As for the space-group type: C2/m, No. 12.


#B
Cu2TcOs | SCAN | single point on PBEsol structure

abc: 4.1828 4.1828 4.1828
angles: 60.00 60.00 60.00
Atoms (fractional coordinates):
Cu: 0.0000 0.0000 0.0000
Cu: 0.2500 0.2500 0.2500
Os: 0.5000 0.5000 0.5000
Tc: 0.7500 0.7500 0.7500

Output
As for the space-group type: F-43m, No. 216.


Tell me which of them is the least stable. Sure, it is #B.


#A
CuTe2Os | SCAN | single point on PBEsol structure

abc: 4.7146 4.7146 4.7146
angles: 60.00 60.00 60.00
Atoms (fractional coordinates):
Cu: 0.5000 0.5000 0.5000
Os: 0.7500 0.7500 0.7500
Te: 0.0000 0.0000 0.0000
Te: 0.2500 0.2500 0.2500

Output
As for the space-group type: F-43m, No. 216.


#B
CuTe2Os | SCAN | single point on PBEsol structure

abc: 3.6706 4.1846 6.5174
angles: 106.35 90.00 116.01
Atoms (fractional coordinates):
Cu: 0.5023 0.0046 0.5264
Os: 0.2501 0.5001 0.6955
Te: 0.9932 0.9864 0.9120
Te: 0.7545 0.5090 0.3662

Output
As for the space-group type: Cm, No. 8.


#C
CuTe2Os | SCAN | single point on PBEsol structure

abc: 3.1453 4.1191 6.7328
angles: 107.81 103.51 90.00
Atoms (fractional coordinates):
Cu: 0.5699 0.5699 0.1397
Os: 0.2738 0.7738 0.5477
Te: 0.9479 0.9479 0.8959
Te: 0.7084 0.2084 0.4167

Output
As for the space-group type: Imm2, No. 44.


Tell me which of them is the least stable. Sure, it is #A.